Entry from Alexandria: an optimized crystal structure of BaCrOF2 (PBE with a Hubbard U).

```
data_BaCrOF2
_space_group_name_H-M_alt 'P 4/m m m'
_space_group_IT_number 123
_space_group_name_Hall '-P 4 2'
_cell_length_a 4.968
_cell_length_b 4.968
_cell_length_c 5.020
_cell_angle_alpha 90.00
_cell_angle_beta 90.00
_cell_angle_gamma 90.00
loop_
_atom_site_label
_atom_site_fract_x
_atom_site_fract_y
_atom_site_fract_z
Ba1 0.000 0.000 0.000
Cr1 0.500 0.500 0.500
O1 0.000 0.000 0.500
F1 0.000 0.500 0.000
```

## Properties
**Uncorrected energy**: -26.04 eV for the cell shown